# 1
# AcMgGaGe, optimized geometry, DFT PBE
data_AcMgGaGe
_chemical_formula_sum 'Ac4 Mg4 Ga4 Ge4'
_space_group_name_H-M_alt 'F -4 3 m'
_space_group_IT_number 216
_space_group_name_Hall 'F -4 2 3'
_cell_length_a 7.3652
_cell_length_b 7.3652
_cell_length_c 7.3652
_cell_angle_alpha 90.00
_cell_angle_beta 90.00
_cell_angle_gamma 90.00
loop_
_atom_site_label
_atom_site_fract_x
_atom_site_fract_y
_atom_site_fract_z
_atom_site_occupancy
Ac1 0.0000 0.0000 0.0000 1
Mg1 0.0000 0.0000 0.5000 1
Ga1 0.2500 0.2500 0.2500 1
Ge1 0.2500 0.2500 0.7500 1
# energy of formation from the pure elements	-0.3468	eV per atom

# 2
# VSiIr2, optimized geometry, DFT PBE
data_VSiIr2
_chemical_formula_sum 'V4 Si4 Ir8'
_space_group_name_H-M_alt 'I -4 2 d'
_space_group_IT_number 122
_space_group_name_Hall 'I -4 2bw'
_cell_length_a 5.4105
_cell_length_b 5.4105
_cell_length_c 10.8136
_cell_angle_alpha 90.00
_cell_angle_beta 90.00
_cell_angle_gamma 90.00
loop_
_atom_site_label
_atom_site_fract_x
_atom_site_fract_y
_atom_site_fract_z
_atom_site_occupancy
V1 0.0000 0.0000 0.0000 1
Si1 0.0000 0.0000 0.5000 1
Ir1 0.2435 0.2500 0.6250 1
# final energy	-7.905	eV per atom

# 3
# PuTl2In, optimized geometry, DFT PBE
data_PuTl2In
_chemical_formula_sum 'Pu4 Tl8 In4'
_space_group_name_H-M_alt 'F -4 3 m'
_space_group_IT_number 216
_space_group_name_Hall 'F -4 2 3'
_cell_length_a 7.6586
_cell_length_b 7.6586
_cell_length_c 7.6586
_cell_angle_alpha 90.00
_cell_angle_beta 90.00
_cell_angle_gamma 90.00
loop_
_atom_site_label
_atom_site_fract_x
_atom_site_fract_y
_atom_site_fract_z
_atom_site_occupancy
Pu1 0.0000 0.0000 0.0000 1
Tl1 0.0000 0.0000 0.5000 1
Tl2 0.2500 0.2500 0.2500 1
In1 0.2500 0.2500 0.7500 1
# offset from the most stable computed form	0.56	eV/f.u.
# energy of formation from the pure elements	0.0545	eV per atom

no.,total moment (μB per formula unit)
1,0.00
2,0.00
3,5.79